## CeThTeRu (PBE)

Data for CeThTeRu after structural relaxation.

a b c (Å): 4.0857 4.0857 23.2427
angles (deg): 90.00 90.00 120.00
Space group R3m (No. 160, hexagonal axes)
Asymmetric unit:
1 Ce 0.0000 0.0000 0.0000
2 Th 0.0000 0.0000 0.1992
3 Te 0.0000 0.0000 0.4310
4 Ru 0.0000 0.0000 0.6037

Properties
Energy relative to the elements, uncorrected, meV per atom: -794.5
Raw total energy, eV/atom: -7.24